Density functional theory data (GGA-PBE) for a relaxed TlPb6Au2 crystal.

Output
DOS at the Fermi energy: 16.12 states/eV per cell
formation energy: -0.03 eV/atom
total energy: -3.49 eV per atom

Cell: 9.5442 9.9304 11.0662 Å, 90.00 90.00 90.00°
With the nearest neighbours (Å) after each atom.
Space group Immm (No. 71)
Symmetry-distinct sites (fractional):
Tl 0.0000 0.0000 0.0000 x2  8 Pb 3.38-3.49, 2 Au 3.46
Tl 0.0000 0.0000 0.5000 x2  12 Pb 3.41-3.64
Pb 0.0000 0.2162 0.2481 x8  2 Au 3.04-3.13
Pb 0.2048 0.5000 0.1741 x8  3 Au 2.93-3.13
Pb 0.2083 0.3075 0.5000 x8  3 Au 3.11-3.18, 1 Tl 3.38
Au 0.0000 0.3481 0.0000 x4  1 Au 3.02, 8 Pb 3.04-3.18
Au 0.0000 0.5000 0.3708 x4  1 Au 2.86, 8 Pb 2.93-3.13